# 1
Here is a relaxed CeTh2Pa3P6 crystal from the Alexandria database. Energies are from PBE.

a = 17.643 Å, b = 4.047 Å, c = 8.086 Å
α = 90.00°, β = 103.37°, γ = 90.00°
Space group C2/m (No. 12)
Asymmetric unit:
Ce1 0.000 0.000 0.000
Th1 0.166 0.500 0.332
Pa1 0.000 0.000 0.500
Pa2 0.167 0.500 0.834
P1 0.003 0.500 0.745
P2 0.164 0.000 0.591
P3 0.169 0.000 0.075

- ΔH_f (0 K): -17.1 eV per formula unit



# 2
Here is a relaxed BHW2Se crystal from the Alexandria database. Energies are from PBE.

a = 4.656 Å, b = 4.656 Å, c = 3.932 Å
α = 90.00°, β = 90.00°, γ = 90.00°
Space group P4/mmm (No. 123)
Asymmetric unit:
B1 0.000 0.000 0.000
H1 0.500 0.500 0.000
W1 0.000 0.500 0.500
Se1 0.000 0.000 0.500

- E_tot: -5.28 eV per atom



Number 1: DOS at the Fermi energy 1.066 states/eV/atom. Number 2: DOS at the Fermi energy 1.081 states/eV/atom.